VASP calculation (PBE) on a relaxed VTcIr6 crystal.

Cell: 5.4502 5.4502 3.8574 Å, 90.00 90.00 90.00°
Closest atoms and distances in Å follow each position.
Space group P4/mmm (No. 123)
One atom of each set of equivalent atoms:
V  0.0000  0.0000  0.0000 (multiplicity 1)  12 Ir 2.72-2.73
Tc  0.5000  0.5000  0.0000 (multiplicity 1)  12 Ir 2.73
Ir  0.0000  0.5000  0.0000 (multiplicity 2)  2 Tc 2.73, 2 V 2.73, 8 Ir 2.73
Ir  0.2493  0.2493  0.5000 (multiplicity 4)  8 Ir 2.72-2.73, 2 V 2.72, 2 Tc 2.73

Computed properties:
Density of states at the Fermi level = 7.8 states/eV per cell
E_form = -0.287 eV per atom
Total DFT energy (no corrections) = -74.946 eV per cell

=====

VASP calculation (PBE) on a relaxed VTcIr3 crystal.

Cell: 4.6747 4.6747 4.6747 Å, 90.00 90.00 90.00°
Closest atoms and distances in Å follow each position.
Space group Pm-3m (No. 221)
One atom of each set of equivalent atoms:
V  0.0000  0.0000  0.0000 (multiplicity 1)  12 Ir 3.31
Tc  0.5000  0.5000  0.5000 (multiplicity 1)  6 Ir 2.34
Ir  0.0000  0.5000  0.5000 (multiplicity 3)  2 Tc 2.34

Computed properties:
Density of states at the Fermi level = 11.0 states/eV per cell
E_form = 1.663 eV per atom
Distance to the lowest polymorph of the same formula = 1920 meV per atom
Total DFT energy (no corrections) = -37.751 eV per cell

=====

VASP calculation (PBE) on a relaxed VTc2Ir crystal.

Cell: 3.7047 3.7047 18.1822 Å, 90.00 90.00 90.00°
Closest atoms and distances in Å follow each position.
Space group I-42d (No. 122)
One atom of each set of equivalent atoms:
V  0.0000  0.0000  0.0000 (multiplicity 4)  4 Tc 2.59, 4 Ir 2.62
Tc  0.2195  0.2500  0.1250 (multiplicity 8)  2 Tc 2.46, 2 V 2.59, 2 Ir 2.67
Ir  0.0000  0.0000  0.5000 (multiplicity 4)  4 V 2.62, 4 Tc 2.67

Computed properties:
Density of states at the Fermi level = 23.9 states/eV per cell
E_form = 0.433 eV per atom
Distance to the lowest polymorph of the same formula = 631 meV per atom
Total DFT energy (no corrections) = -147.915 eV per cell

=====

VASP calculation (PBE) on a relaxed V2TcIr5 crystal.

Cell: 5.4236 10.8587 3.8481 Å, 90.00 90.00 90.00°
Closest atoms and distances in Å follow each position.
Space group Pbam (No. 55)
One atom of each set of equivalent atoms:
V  0.2478  0.1232  0.0000 (multiplicity 4)  10 Ir 2.68-2.75, 2 Tc 2.70
Tc  0.0000  0.0000  0.5000 (multiplicity 2)  8 Ir 2.70-2.71, 4 V 2.70
Ir  0.0000  0.5000  0.5000 (multiplicity 2)  2 Tc 2.71, 4 V 2.71, 6 Ir 2.72-2.73
Ir  0.0021  0.2490  0.5000 (multiplicity 4)  1 Tc 2.70, 4 V 2.71-2.74, 7 Ir 2.71-2.74
Ir  0.2463  0.8766  0.0000 (multiplicity 4)  4 V 2.68-2.75, 2 Tc 2.70, 6 Ir 2.72-2.74

Computed properties:
Density of states at the Fermi level = 11.7 states/eV per cell
E_form = -0.430 eV per atom
Total DFT energy (no corrections) = -152.701 eV per cell

=====

VASP calculation (PBE) on a relaxed V4Tc2Ir crystal.

Cell: 4.5476 4.5476 12.2715 Å, 90.00 90.00 90.00°
Closest atoms and distances in Å follow each position.
Space group I4/mmm (No. 139)
One atom of each set of equivalent atoms:
V  0.0000  0.0000  0.2012 (multiplicity 4)  1 Tc 2.22, 1 Ir 2.47
V  0.0000  0.5000  0.0000 (multiplicity 4)  2 Ir 2.27
Tc  0.0000  0.0000  0.3820 (multiplicity 4)  1 V 2.22
Ir  0.0000  0.0000  0.0000 (multiplicity 2)  6 V 2.27-2.47

Computed properties:
Density of states at the Fermi level = 22.4 states/eV per cell
E_form = 0.988 eV per atom
Total DFT energy (no corrections) = -118.296 eV per cell

=====

VASP calculation (PBE) on a relaxed V2TcIr9 crystal.

Cell: 3.8485 3.8485 11.5527 Å, 90.00 90.00 90.00°
Closest atoms and distances in Å follow each position.
Space group P4/mmm (No. 123)
One atom of each set of equivalent atoms:
V  0.0000  0.0000  0.1636 (multiplicity 2)  12 Ir 2.70-2.74
Tc  0.0000  0.0000  0.5000 (multiplicity 1)  12 Ir 2.72-2.73
Ir  0.0000  0.5000  0.0000 (multiplicity 2)  4 V 2.70, 8 Ir 2.72
Ir  0.0000  0.5000  0.3323 (multiplicity 4)  8 Ir 2.71-2.73, 2 Tc 2.73, 2 V 2.74
Ir  0.5000  0.5000  0.1667 (multiplicity 2)  8 Ir 2.71-2.72, 4 V 2.72
Ir  0.5000  0.5000  0.5000 (multiplicity 1)  4 Tc 2.72, 8 Ir 2.73

Computed properties:
Density of states at the Fermi level = 8.4 states/eV per cell
E_form = -0.356 eV per atom
Total DFT energy (no corrections) = -112.619 eV per cell

=====

- Which value of E_form does entry 2 give?
  1.663 eV per atom

=====

- Which formula does entry 4 have?
  V2TcIr5

=====

What did the sixth record say?
VASP calculation (PBE) on a relaxed V2TcIr9 crystal.

Cell: 3.8485 3.8485 11.5527 Å, 90.00 90.00 90.00°
Closest atoms and distances in Å follow each position.
Space group P4/mmm (No. 123)
One atom of each set of equivalent atoms:
V  0.0000  0.0000  0.1636 (multiplicity 2)  12 Ir 2.70-2.74
Tc  0.0000  0.0000  0.5000 (multiplicity 1)  12 Ir 2.72-2.73
Ir  0.0000  0.5000  0.0000 (multiplicity 2)  4 V 2.70, 8 Ir 2.72
Ir  0.0000  0.5000  0.3323 (multiplicity 4)  8 Ir 2.71-2.73, 2 Tc 2.73, 2 V 2.74
Ir  0.5000  0.5000  0.1667 (multiplicity 2)  8 Ir 2.71-2.72, 4 V 2.72
Ir  0.5000  0.5000  0.5000 (multiplicity 1)  4 Tc 2.72, 8 Ir 2.73

Computed properties:
Density of states at the Fermi level = 8.4 states/eV per cell
E_form = -0.356 eV per atom
Total DFT energy (no corrections) = -112.619 eV per cell

=====

Please write out number 2 again, unchanged.
VASP calculation (PBE) on a relaxed VTcIr3 crystal.

Cell: 4.6747 4.6747 4.6747 Å, 90.00 90.00 90.00°
Closest atoms and distances in Å follow each position.
Space group Pm-3m (No. 221)
One atom of each set of equivalent atoms:
V  0.0000  0.0000  0.0000 (multiplicity 1)  12 Ir 3.31
Tc  0.5000  0.5000  0.5000 (multiplicity 1)  6 Ir 2.34
Ir  0.0000  0.5000  0.5000 (multiplicity 3)  2 Tc 2.34

Computed properties:
Density of states at the Fermi level = 11.0 states/eV per cell
E_form = 1.663 eV per atom
Distance to the lowest polymorph of the same formula = 1920 meV per atom
Total DFT energy (no corrections) = -37.751 eV per cell